Entry 1:
The following is a SCAN calculation of a crystal of Co8W relaxed with PBEsol, from the Alexandria database.

Summary:
Crystal system: tetragonal
E, eV per atom: -22.97
Magnetic moment, μB per formula unit: 11.45
Formation enthalpy at 0 K, eV per atom: 0.15
SG: I4/mmm (139)

Lattice parameters (Å, degrees): 5.5386 5.5386 5.5386 95.72 95.72 143.21
Fractional positions:
Co 0.0000 0.3379 0.3379
Co 0.0000 0.6621 0.6621
Co 0.3288 0.3288 0.6577
Co 0.3288 0.6712 0.0000
Co 0.3379 0.0000 0.3379
Co 0.6621 0.0000 0.6621
Co 0.6712 0.3288 0.0000
Co 0.6712 0.6712 0.3423
W 0.0000 0.0000 0.0000



Entry 2:
The following is a SCAN calculation of a crystal of TaOs3 relaxed with PBEsol, from the Alexandria database.

Summary:
Crystal system: orthorhombic
E, eV per atom: -70.65
Magnetic moment, μB per formula unit: 0.00
Formation enthalpy at 0 K, eV per atom: -0.10
SG: Pmm2 (25)

Lattice parameters (Å, degrees): 2.7928 4.4263 4.7711 90.00 90.00 90.00
Fractional positions:
Ta 0.0000 0.0000 0.0000
Os 0.0000 0.5000 0.6494
Os 0.5000 0.0000 0.5020
Os 0.5000 0.5000 0.1610



Entry 3:
The following is a SCAN calculation of a crystal of La4Cu3Sb8 relaxed with PBEsol, from the Alexandria database.

Summary:
Crystal system: tetragonal
Uncorrected formation energy, kJ/mol of formula units: -1245
E, eV per atom: -35.27
Magnetic moment, μB per formula unit: 0.00
SG: I-42m (121)

Lattice parameters (Å, degrees): 10.7238 10.7238 10.7238 146.27 146.27 48.45
Fractional positions:
La 0.1312 0.1312 0.5018
La 0.3706 0.8688 0.0000
La 0.6294 0.6294 0.4982
La 0.8688 0.3706 0.0000
Cu 0.0000 0.5000 0.5000
Cu 0.5000 0.0000 0.5000
Cu 0.5000 0.5000 0.0000
Sb 0.1758 0.6840 0.0000
Sb 0.2502 0.2502 0.0000
Sb 0.2500 0.7500 0.5000
Sb 0.3160 0.3160 0.4918
Sb 0.6840 0.1758 0.0000
Sb 0.7500 0.2500 0.5000
Sb 0.7498 0.7498 0.0000
Sb 0.8242 0.8242 0.5082



Entry 4:
The following is a SCAN calculation of a crystal of SrRhO3 relaxed with PBEsol, from the Alexandria database.

Summary:
Crystal system: tetragonal
Uncorrected formation energy, kJ/mol of formula units: -900
E, eV per atom: -16.81
Magnetic moment, μB per formula unit: 1.01
SG: I4/mcm (140)

Lattice parameters (Å, degrees): 5.5474 5.5474 5.5474 120.77 120.77 88.68
Fractional positions:
Sr 0.2500 0.7500 0.5000
Sr 0.7500 0.2500 0.5000
Rh 0.0000 0.0000 0.0000
Rh 0.5000 0.5000 0.0000
O 0.1918 0.6918 0.8837
O 0.2500 0.2500 0.0000
O 0.3082 0.1918 0.5000
O 0.6918 0.8082 0.5000
O 0.7500 0.7500 0.0000
O 0.8082 0.3082 0.1163



Entry 5:
The following is a SCAN calculation of a crystal of Ca2MgHg relaxed with PBEsol, from the Alexandria database.

Summary:
Crystal system: cubic
E, eV per atom: -23.51
Magnetic moment, μB per formula unit: 0.03
Formation enthalpy at 0 K, eV per atom: -0.39
Energy relative to the lowest polymorph listed for this composition, meV/atom: 22
SG: Fm-3m (225)

Lattice parameters (Å, degrees): 5.3658 5.3658 5.3658 60.00 60.00 60.00
Fractional positions:
Ca 0.2500 0.2500 0.2500
Ca 0.7500 0.7500 0.7500
Mg 0.0000 0.0000 0.0000
Hg 0.5000 0.5000 0.5000



Entry 6:
The following is a SCAN calculation of a crystal of Sr3MgB relaxed with PBEsol, from the Alexandria database.

Summary:
Crystal system: cubic
E, eV per atom: -14.59
Magnetic moment, μB per formula unit: 1.64
Formation enthalpy at 0 K, eV per atom: 1.25
SG: Pm-3m (221)

Lattice parameters (Å, degrees): 6.2189 6.2189 6.2189 90.00 90.00 90.00
Fractional positions:
Sr 0.0000 0.0000 0.5000
Sr 0.0000 0.5000 0.0000
Sr 0.5000 0.0000 0.0000
Mg 0.0000 0.0000 0.0000
B 0.5000 0.5000 0.5000



Entry 7:
The following is a SCAN calculation of a crystal of La2RuCl relaxed with PBEsol, from the Alexandria database.

Summary:
Crystal system: orthorhombic
Uncorrected formation energy, kJ/mol of formula units: -335
E, eV per atom: -33.12
Magnetic moment, μB per formula unit: 0.00
Energy relative to the lowest polymorph listed for this composition, meV/atom: 299
SG: Immm (71)

Lattice parameters (Å, degrees): 5.1342 5.1342 5.1342 128.74 110.67 91.21
Fractional positions:
La 0.2362 0.2362 0.0000
La 0.7638 0.7638 0.0000
Ru 0.0000 0.5000 0.5000
Cl 0.5000 0.0000 0.5000



Entry 8:
The following is a SCAN calculation of a crystal of MgCd2Ag relaxed with PBEsol, from the Alexandria database.

Summary:
Crystal system: tetragonal
E, eV per atom: -24.41
Magnetic moment, μB per formula unit: 0.00
Formation enthalpy at 0 K, eV per atom: -0.12
Energy relative to the lowest polymorph listed for this composition, meV/atom: 6
SG: P4/mmm (123)

Lattice parameters (Å, degrees): 3.5357 3.5357 6.1267 90.00 90.00 90.00
Fractional positions:
Mg 0.0000 0.0000 0.0000
Cd 0.5000 0.5000 0.2577
Cd 0.5000 0.5000 0.7423
Ag 0.0000 0.0000 0.5000



Entry 9:
The following is a SCAN calculation of a crystal of Y2WO6 relaxed with PBEsol, from the Alexandria database.

Summary:
Crystal system: monoclinic
Uncorrected formation energy, kJ/mol of formula units: -2891
E, eV per atom: -21.41
Magnetic moment, μB per formula unit: 0.00
Energy relative to the lowest polymorph listed for this composition, meV/atom: 0
SG: P2/c (13)

Lattice parameters (Å, degrees): 7.5983 5.3159 11.3064 90.00 104.65 90.00
Fractional positions:
Y 0.0000 0.1811 0.2500
Y 0.0000 0.8189 0.7500
Y 0.2967 0.3151 0.9222
Y 0.2967 0.6849 0.4222
Y 0.5000 0.2380 0.2500
Y 0.5000 0.7620 0.7500
Y 0.7033 0.3151 0.5778
Y 0.7033 0.6849 0.0778
W 0.2222 0.2462 0.6140
W 0.2222 0.7538 0.1140
W 0.7778 0.2462 0.8860
W 0.7778 0.7538 0.3860
O 0.0113 0.1429 0.8873
O 0.0113 0.8571 0.3873
O 0.1329 0.3459 0.4510
O 0.1329 0.6541 0.9510
O 0.2117 0.4832 0.2291
O 0.2117 0.5168 0.7291
O 0.2863 0.0383 0.7718
O 0.2863 0.9617 0.2718
O 0.3518 0.0259 0.0701
O 0.3518 0.9741 0.5701
O 0.4372 0.4612 0.6033
O 0.4372 0.5388 0.1033
O 0.5628 0.4612 0.8967
O 0.5628 0.5388 0.3967
O 0.6482 0.0259 0.4299
O 0.6482 0.9741 0.9299
O 0.7137 0.0383 0.7282
O 0.7137 0.9617 0.2282
O 0.7883 0.4832 0.2709
O 0.7883 0.5168 0.7709
O 0.8671 0.3459 0.0490
O 0.8671 0.6541 0.5490
O 0.9887 0.1429 0.6127
O 0.9887 0.8571 0.1127



Entry 10:
The following is a SCAN calculation of a crystal of Li4SiAg relaxed with PBEsol, from the Alexandria database.

Summary:
Crystal system: cubic
Uncorrected formation energy, kJ/mol of formula units: 11
E, eV per atom: -8.47
Magnetic moment, μB per formula unit: 1.01
SG: F-43m (216)

Lattice parameters (Å, degrees): 4.8833 4.8833 4.8833 60.00 60.00 60.00
Fractional positions:
Li 0.3756 0.3756 0.3756
Li 0.3756 0.3756 0.8732
Li 0.3756 0.8732 0.3756
Li 0.8732 0.3756 0.3756
Si 0.7500 0.7500 0.7500
Ag 0.0000 0.0000 0.0000



Entry 11:
The following is a SCAN calculation of a crystal of LaCrCo relaxed with PBEsol, from the Alexandria database.

Summary:
Crystal system: tetragonal
E, eV per atom: -25.80
Magnetic moment, μB per formula unit: 1.57
Formation enthalpy at 0 K, eV per atom: 0.47
SG: I4mm (107)

Lattice parameters (Å, degrees): 6.0052 6.0052 6.0052 151.17 151.17 41.23
Fractional positions:
La 0.0000 0.0000 0.0000
Cr 0.2907 0.2907 0.0000
Co 0.7064 0.7064 0.0000



Entry 12:
The following is a SCAN calculation of a crystal of MgAlIn relaxed with PBEsol, from the Alexandria database.

Summary:
Crystal system: orthorhombic
E, eV per atom: -15.36
Magnetic moment, μB per formula unit: 0.01
Formation enthalpy at 0 K, eV per atom: 0.01
SG: Fmm2 (42)

Lattice parameters (Å, degrees): 6.8295 6.8150 3.1106 77.08 76.56 26.36
Fractional positions:
Mg 0.0000 0.0000 0.0000
Al 0.6556 0.6556 0.3444
In 0.3235 0.3235 0.6765



Entry 13:
The following is a SCAN calculation of a crystal of CrFeAg2 relaxed with PBEsol, from the Alexandria database.

Summary:
Crystal system: trigonal
E, eV per atom: -24.43
Magnetic moment, μB per formula unit: 0.01
Formation enthalpy at 0 K, eV per atom: 0.38
Energy relative to the lowest polymorph listed for this composition, meV/atom: 56
SG: R3m (160)

Lattice parameters (Å, degrees): 8.9080 8.9080 8.9080 17.44 17.44 17.44
Fractional positions:
Cr 0.0000 0.0000 0.0000
Fe 0.7304 0.7304 0.7304
Ag 0.2443 0.2443 0.2443
Ag 0.4842 0.4842 0.4842



Entry 14:
The following is a SCAN calculation of a crystal of ReSi2Ru relaxed with PBEsol, from the Alexandria database.

Summary:
Crystal system: tetragonal
Uncorrected formation energy, kJ/mol of formula units: -179
E, eV per atom: -31.95
Magnetic moment, μB per formula unit: 0.00
SG: P4/mmm (123)

Lattice parameters (Å, degrees): 2.9400 2.9400 5.8727 90.00 90.00 90.00
Fractional positions:
Re 0.0000 0.0000 0.0000
Si 0.5000 0.5000 0.2504
Si 0.5000 0.5000 0.7496
Ru 0.0000 0.0000 0.5000



Entry 15:
The following is a SCAN calculation of a crystal of KGe3Au relaxed with PBEsol, from the Alexandria database.

Summary:
Crystal system: cubic
E, eV per atom: -25.03
Magnetic moment, μB per formula unit: 0.00
Formation enthalpy at 0 K, eV per atom: 1.92
SG: Pm-3m (221)

Lattice parameters (Å, degrees): 5.2481 5.2481 5.2481 90.00 90.00 90.00
Fractional positions:
K 0.0000 0.0000 0.0000
Ge 0.0000 0.0000 0.5000
Ge 0.0000 0.5000 0.0000
Ge 0.5000 0.0000 0.0000
Au 0.5000 0.5000 0.5000



Entry 16:
The following is a SCAN calculation of a crystal of K2CoO2 relaxed with PBEsol, from the Alexandria database.

Summary:
Crystal system: monoclinic
Uncorrected formation energy, kJ/mol of formula units: -655
E, eV per atom: -10.64
Magnetic moment, μB per formula unit: 3.03
SG: P2_1/c (14)

Lattice parameters (Å, degrees): 6.4966 9.4718 6.8122 90.00 117.15 90.00
Fractional positions:
K 0.2150 0.0879 0.3929
K 0.2150 0.4121 0.8929
K 0.2511 0.7362 0.6379
K 0.2511 0.7638 0.1379
K 0.7489 0.2362 0.8621
K 0.7489 0.2638 0.3621
K 0.7850 0.5879 0.1071
K 0.7850 0.9121 0.6071
Co 0.3059 0.0659 0.9046
Co 0.3059 0.4341 0.4046
Co 0.6941 0.5659 0.5954
Co 0.6941 0.9341 0.0954
O 0.0473 0.1485 0.7291
O 0.0473 0.3515 0.2291
O 0.4916 0.0170 0.1971
O 0.4916 0.4830 0.6971
O 0.5084 0.5170 0.3029
O 0.5084 0.9830 0.8029
O 0.9527 0.6485 0.7709
O 0.9527 0.8515 0.2709



Entry 17:
The following is a SCAN calculation of a crystal of Sr2IrCSe relaxed with PBEsol, from the Alexandria database.

Summary:
Crystal system: tetragonal
Uncorrected formation energy, kJ/mol of formula units: -405
E, eV per atom: -30.00
Magnetic moment, μB per formula unit: 0.01
SG: P4/mmm (123)

Lattice parameters (Å, degrees): 5.4305 5.4305 3.8237 90.00 90.00 90.00
Fractional positions:
Sr 0.0000 0.5000 0.0000
Sr 0.5000 0.0000 0.0000
Ir 0.0000 0.0000 0.5000
C 0.0000 0.0000 0.0000
Se 0.5000 0.5000 0.5000



Entry 18:
The following is a SCAN calculation of a crystal of YTcPt2 relaxed with PBEsol, from the Alexandria database.

Summary:
Crystal system: tetragonal
E, eV per atom: -51.29
Magnetic moment, μB per formula unit: 2.74
Formation enthalpy at 0 K, eV per atom: -0.47
Energy relative to the lowest polymorph listed for this composition, meV/atom: 0
SG: I-4m2 (119)

Lattice parameters (Å, degrees): 5.0077 5.0077 5.0077 132.32 132.32 69.73
Fractional positions:
Y 0.0000 0.0000 0.0000
Tc 0.2500 0.7500 0.5000
Pt 0.5000 0.5000 0.0000
Pt 0.7500 0.2500 0.5000



Entry 19:
The following is a SCAN calculation of a crystal of YSbRh2 relaxed with PBEsol, from the Alexandria database.

Summary:
Crystal system: tetragonal
Uncorrected formation energy, kJ/mol of formula units: -299
E, eV per atom: -33.94
Magnetic moment, μB per formula unit: 0.00
SG: P4/mmm (123)

Lattice parameters (Å, degrees): 4.3852 4.3852 3.7045 90.00 90.00 90.00
Fractional positions:
Y 0.0000 0.0000 0.0000
Sb 0.5000 0.5000 0.0000
Rh 0.0000 0.5000 0.5000
Rh 0.5000 0.0000 0.5000



Entry 20:
The following is a SCAN calculation of a crystal of BeHgSb relaxed with PBEsol, from the Alexandria database.

Summary:
Crystal system: orthorhombic
Uncorrected formation energy, kJ/mol of formula units: 124
E, eV per atom: -36.17
Magnetic moment, μB per formula unit: 0.00
Energy relative to the lowest polymorph listed for this composition, meV/atom: 186
SG: Fmm2 (42)

Lattice parameters (Å, degrees): 6.5568 6.3367 3.1979 79.50 71.85 28.66
Fractional positions:
Be 0.0000 0.0000 0.0000
Hg 0.6355 0.6355 0.3645
Sb 0.3570 0.3570 0.6430